Record 1
# PmGa3Rh

A geometry-optimized PmGa3Rh structure (PBE-GGA, the Alexandria database).

Unit cell a=6.2447 b=6.2447 c=5.6803 alpha=90.00 beta=90.00 gamma=120.00
Closest atoms and distances in Å follow each position.
Space group P6_3/mmc (No. 194)
Symmetry-distinct sites (fractional):
Pm1 0.3333 0.6667 0.2500  12 Ga 3.13-3.23
Ga1 0.1918 0.3835 0.7500  2 Rh 2.51, 2 Ga 2.65
Rh1 0.0000 0.0000 0.0000  6 Ga 2.51

Energy relative to the lowest polymorph listed for this composition   0.000 eV/atom
DFT total energy   -4.875 eV/atom
ΔH_f (0 K)   -638 meV per atom



Record 2
# PmGa2RuRh

A geometry-optimized PmGa2RuRh structure (PBE-GGA, the Alexandria database).

Unit cell a=4.3916 b=4.3916 c=9.6526 alpha=90.00 beta=90.00 gamma=90.00
Closest atoms and distances in Å follow each position.
Space group I-4m2 (No. 119)
Symmetry-distinct sites (fractional):
Pm1 0.0000 0.0000 0.0000  4 Ru 3.26, 4 Rh 3.26, 10 Ga 3.36-3.54
Ga1 0.0000 0.0000 0.3668  2 Ru 2.47, 2 Rh 2.47, 1 Ga 2.57
Ru1 0.0000 0.5000 0.7500  4 Ga 2.47
Rh1 0.0000 0.5000 0.2500  4 Ga 2.47

DFT total energy   -6.116 eV/atom
ΔH_f (0 K)   -630 meV per atom



Record 3
# PmGa4RuRh2

A geometry-optimized PmGa4RuRh2 structure (PBE-GGA, the Alexandria database).

Unit cell a=4.2436 b=4.2436 c=26.2067 alpha=90.00 beta=90.00 gamma=120.00
Closest atoms and distances in Å follow each position.
Space group R-3m (No. 166, hexagonal axes)
Symmetry-distinct sites (fractional):
Pm1 0.0000 0.0000 0.0000  6 Ga 3.04
Ga1 0.0000 0.0000 0.1327  3 Ru 2.61, 4 Rh 2.63-2.72
Ga2 0.0000 0.0000 0.4021  3 Rh 2.56, 1 Ru 2.57
Ru1 0.0000 0.0000 0.5000  8 Ga 2.57-2.61
Rh1 0.0000 0.0000 0.2366  7 Ga 2.56-2.72

DFT total energy   -5.738 eV/atom
ΔH_f (0 K)   -633 meV per atom



Record 4
# PmGa4Ru2Rh

A geometry-optimized PmGa4Ru2Rh structure (PBE-GGA, the Alexandria database).

Unit cell a=4.2643 b=4.2643 c=25.9133 alpha=90.00 beta=90.00 gamma=120.00
Closest atoms and distances in Å follow each position.
Space group R-3m (No. 166, hexagonal axes)
Symmetry-distinct sites (fractional):
Pm1 0.0000 0.0000 0.0000  8 Ga 3.04-3.40
Ga1 0.0000 0.0000 0.1311  4 Ru 2.61-2.71, 3 Rh 2.63
Ga2 0.0000 0.0000 0.4018  1 Rh 2.54, 3 Ru 2.58
Ru1 0.0000 0.0000 0.2356  7 Ga 2.58-2.71
Rh1 0.0000 0.0000 0.5000  8 Ga 2.54-2.63

DFT total energy   -5.848 eV/atom
ΔH_f (0 K)   -503 meV per atom



Record 5
# PmScGaRh

A geometry-optimized PmScGaRh structure (PBE-GGA, the Alexandria database).

Unit cell a=6.9261 b=6.9261 c=6.9261 alpha=90.00 beta=90.00 gamma=90.00
Closest atoms and distances in Å follow each position.
Space group F-43m (No. 216)
Symmetry-distinct sites (fractional):
Pm1 0.0000 0.0000 0.0000  4 Rh 3.00, 4 Ga 3.00
Sc1 0.0000 0.0000 0.5000  4 Rh 3.00, 4 Ga 3.00
Ga1 0.2500 0.2500 0.7500  4 Pm 3.00, 4 Sc 3.00
Rh1 0.2500 0.2500 0.2500  4 Pm 3.00, 4 Sc 3.00

DFT total energy   -5.977 eV/atom
ΔH_f (0 K)   -612 meV per atom



Record 6
# Pm2ScGa2Rh5

A geometry-optimized Pm2ScGa2Rh5 structure (PBE-GGA, the Alexandria database).

Unit cell a=10.0840 b=10.0840 c=3.5425 alpha=90.00 beta=90.00 gamma=90.00
Closest atoms and distances in Å follow each position.
Space group P4/mbm (No. 127)
Symmetry-distinct sites (fractional):
Pm1 0.1740 0.3260 0.0000  3 Ga 2.89-3.04, 6 Rh 3.05-3.17
Sc1 0.0000 0.0000 0.0000  8 Rh 2.83
Ga1 0.1235 0.6235 0.0000  6 Rh 2.50-2.52
Rh1 0.0000 0.5000 0.5000  4 Ga 2.50
Rh2 0.0676 0.7919 0.5000  2 Ga 2.52

DFT total energy   -6.657 eV/atom
ΔH_f (0 K)   -793 meV per atom



Record 7
# Pm3GaSi2Rh9

A geometry-optimized Pm3GaSi2Rh9 structure (PBE-GGA, the Alexandria database).

Unit cell a=6.3905 b=6.3905 c=7.8627 alpha=90.00 beta=90.00 gamma=120.00
Closest atoms and distances in Å follow each position.
Space group P-3m1 (No. 164)
Symmetry-distinct sites (fractional):
Pm1 0.0000 0.0000 0.0000  12 Rh 3.19-3.20
Pm2 0.3333 0.6667 0.6619  12 Rh 3.19-3.24
Ga1 0.0000 0.0000 0.5000  6 Rh 2.33
Si1 0.3333 0.6667 0.1610  6 Rh 2.22-2.24
Rh1 0.0000 0.5000 0.0000  2 Si 2.24
Rh2 0.1709 0.3419 0.3265  1 Si 2.22, 1 Ga 2.33

Formation energy from raw total energies   -0.549 eV/atom
DFT total energy   -6.835 eV/atom



Record 8
# Pm2Ga3SiRh4

A geometry-optimized Pm2Ga3SiRh4 structure (PBE-GGA, the Alexandria database).

Unit cell a=4.3122 b=4.3122 c=9.8404 alpha=90.00 beta=90.00 gamma=90.00
Closest atoms and distances in Å follow each position.
Space group P-4m2 (No. 115)
Symmetry-distinct sites (fractional):
Pm1 0.0000 0.5000 0.2431  8 Rh 3.22-3.34, 6 Ga 3.25-3.32, 2 Si 3.32
Ga1 0.0000 0.5000 0.8717  5 Rh 2.49-2.50
Ga2 0.5000 0.5000 0.5000  4 Rh 2.45
Si1 0.0000 0.0000 0.5000  4 Rh 2.45
Rh1 0.0000 0.0000 0.0000  4 Ga 2.50
Rh2 0.0000 0.5000 0.6187  2 Si 2.45, 3 Ga 2.45-2.49
Rh3 0.5000 0.5000 0.0000  4 Ga 2.50

Formation energy from raw total energies   -0.838 eV/atom
DFT total energy   -6.179 eV/atom



Record 9
# Pm2GaSi4Rh3

A geometry-optimized Pm2GaSi4Rh3 structure (PBE-GGA, the Alexandria database).

Unit cell a=4.1634 b=4.1634 c=10.0761 alpha=90.00 beta=90.00 gamma=90.00
Closest atoms and distances in Å follow each position.
Space group P-4m2 (No. 115)
Symmetry-distinct sites (fractional):
Pm1 0.0000 0.5000 0.2425  8 Si 3.16-3.21, 6 Rh 3.19-3.33, 2 Ga 3.33
Ga1 0.0000 0.0000 0.5000  4 Si 2.54
Si1 0.0000 0.0000 0.0000  4 Rh 2.41
Si2 0.0000 0.5000 0.6441  3 Rh 2.37-2.54, 2 Ga 2.54
Si3 0.5000 0.5000 0.0000  4 Rh 2.41
Rh1 0.0000 0.5000 0.8796  5 Si 2.37-2.41
Rh2 0.5000 0.5000 0.5000  4 Si 2.54

Formation energy from raw total energies   -0.900 eV/atom
DFT total energy   -6.528 eV/atom



Record 10
# PmGa2SiRh2

A geometry-optimized PmGa2SiRh2 structure (PBE-GGA, the Alexandria database).

Unit cell a=4.5058 b=4.5058 c=5.5986 alpha=90.00 beta=90.00 gamma=90.00
Closest atoms and distances in Å follow each position.
Space group P4/mmm (No. 123)
Symmetry-distinct sites (fractional):
Pm1 0.0000 0.0000 0.0000  2 Si 2.80
Ga1 0.5000 0.5000 0.2362  2 Ga 2.64-2.95, 4 Rh 2.69
Si1 0.0000 0.0000 0.5000  4 Rh 2.25
Rh1 0.0000 0.5000 0.5000  2 Si 2.25

Formation energy from raw total energies   -0.562 eV/atom
DFT total energy   -5.717 eV/atom



Record 11
# PmGaSiRh2

A geometry-optimized PmGaSiRh2 structure (PBE-GGA, the Alexandria database).

Unit cell a=4.1905 b=4.1905 c=6.4066 alpha=90.00 beta=90.00 gamma=90.00
Closest atoms and distances in Å follow each position.
Space group P4mm (No. 99)
Symmetry-distinct sites (fractional):
Pm1 0.0000 0.0000 0.0000  2 Si 3.04-3.37, 4 Ga 3.10, 4 Rh 3.13
Ga1 0.5000 0.5000 0.1412  4 Rh 2.53
Si1 0.0000 0.0000 0.5262  4 Rh 2.34
Rh1 0.0000 0.5000 0.3628  2 Si 2.34, 2 Ga 2.53

Formation energy from raw total energies   -0.535 eV/atom
DFT total energy   -6.116 eV/atom



Record 12
# Pm2Sm2GaRh4

A geometry-optimized Pm2Sm2GaRh4 structure (PBE-GGA, the Alexandria database).

Unit cell a=6.7147 b=6.7147 c=8.8434 alpha=90.00 beta=90.00 gamma=90.00
Closest atoms and distances in Å follow each position.
Space group I4/mmm (No. 139)
Symmetry-distinct sites (fractional):
Pm1 0.0000 0.5000 0.2500  8 Rh 3.24, 4 Sm 3.41
Sm1 0.0000 0.0000 0.1832  1 Ga 2.80, 4 Rh 2.82
Ga1 0.0000 0.0000 0.5000  4 Rh 2.44
Rh1 0.2426 0.2426 0.0000  1 Ga 2.44

DFT total energy   -6.140 eV/atom
ΔH_f (0 K)   -432 meV per atom